Density functional theory data (PBE-GGA) for an optimized crystal structure of SmPIrO.

Cell: 5.8967 5.8967 4.4282 Å, 90.00 90.00 90.00°
Last column: nearest neighbours and their distance in Å.
Space group P4/nmm (No. 129, origin choice 2)
One atom of each set of equivalent atoms:
1 Sm 0.2500 0.7500 0.0000  2 O 2.21
2 P 0.2500 0.2500 0.1337  2 Ir 2.20-2.23
3 Ir 0.2500 0.2500 0.6377  2 P 2.20-2.23
4 O 0.2500 0.7500 0.5000  2 Sm 2.21

Results
Distance to the lowest polymorph of the same formula ... 1218 meV/atom

Density functional theory data (PBE-GGA) for an optimized crystal structure of Sr2InReO6.

Cell: 5.7003 5.7469 9.8828 Å, 90.00 125.13 90.00°
Last column: nearest neighbours and their distance in Å.
Space group P2_1/c (No. 14)
One atom of each set of equivalent atoms:
1 Sr 0.2430 0.0368 0.2501  6 O 2.49-2.77
2 In 0.5000 0.0000 0.0000  6 O 2.16-2.17
3 Re 0.0000 0.0000 0.5000  6 O 1.98-1.99
4 O 0.1568 0.2204 0.9600  1 Re 1.99, 1 In 2.17
5 O 0.2396 0.6998 0.9617  1 Re 1.98, 1 In 2.16
6 O 0.3129 0.0185 0.7385  1 Re 1.98, 1 In 2.16

Density functional theory data (PBE-GGA) for an optimized crystal structure of HoErTm2.

Cell: 7.1290 12.3485 5.5227 Å, 90.00 90.00 90.00°
Last column: nearest neighbours and their distance in Å.
Space group Cmcm (No. 63)
One atom of each set of equivalent atoms:
1 Ho 0.0000 0.1665 0.2500  8 Tm 3.45-3.57, 4 Er 3.45-3.56
2 Er 0.0000 0.3336 0.7500  8 Tm 3.44-3.57, 4 Ho 3.45-3.56
3 Tm 0.2503 0.0830 0.7500  4 Tm 3.44-3.57, 4 Er 3.44-3.57, 4 Ho 3.45-3.57

Results
E_form ... 0 meV/atom

Density functional theory data (PBE-GGA) for an optimized crystal structure of NdHoCo2Ge4.

Cell: 4.1814 4.1816 16.6526 Å, 90.00 90.00 90.00°
Last column: nearest neighbours and their distance in Å.
Space group Amm2 (No. 38)
One atom of each set of equivalent atoms:
1 Nd 0.0000 0.0000 0.0000  10 Ge 3.14-3.31, 5 Co 3.20-3.52
2 Ho 0.5000 0.0000 0.7821  10 Ge 3.12-3.31, 5 Co 3.18-3.48
3 Co 0.0000 0.0000 0.2111  5 Ge 2.25-2.38
4 Co 0.5000 0.0000 0.5734  5 Ge 2.29-2.39
5 Ge 0.0000 0.0000 0.3461  1 Co 2.25
6 Ge 0.0000 0.0000 0.6423  4 Co 2.38-2.39
7 Ge 0.5000 0.0000 0.1433  4 Co 2.38-2.39
8 Ge 0.5000 0.0000 0.4359  1 Co 2.29

Density functional theory data (PBE-GGA) for an optimized crystal structure of KHg3Pd.

Cell: 5.3910 5.3910 5.3910 Å, 90.00 90.00 90.00°
Last column: nearest neighbours and their distance in Å.
Space group Pm-3m (No. 221)
One atom of each set of equivalent atoms:
1 K 0.0000 0.0000 0.0000  12 Hg 3.81
2 Hg 0.0000 0.5000 0.5000  2 Pd 2.70
3 Pd 0.5000 0.5000 0.5000  6 Hg 2.70

Density functional theory data (PBE-GGA) for an optimized crystal structure of ThSb.

Cell: 4.2072 4.2072 4.2013 Å, 90.00 90.00 120.00°
Last column: nearest neighbours and their distance in Å.
Space group P-6m2 (No. 187)
One atom of each set of equivalent atoms:
1 Th 0.0000 0.0000 0.0000  6 Sb 3.21
2 Sb 0.3333 0.6667 0.5000  6 Th 3.21

Density functional theory data (PBE-GGA) for an optimized crystal structure of HgPd2Pb.

Cell: 6.8237 6.8237 6.8237 Å, 90.00 90.00 90.00°
Last column: nearest neighbours and their distance in Å.
Space group F-43m (No. 216)
One atom of each set of equivalent atoms:
1 Hg 0.0000 0.0000 0.0000  4 Pb 2.95, 4 Pd 2.95
2 Pd 0.0000 0.0000 0.5000  4 Pb 2.95, 4 Pd 2.95
3 Pd 0.2500 0.2500 0.2500  4 Hg 2.95, 4 Pd 2.95
4 Pb 0.2500 0.2500 0.7500  4 Hg 2.95, 4 Pd 2.95

Density functional theory data (PBE-GGA) for an optimized crystal structure of Co4Re9.

Cell: 5.0459 5.0459 26.2178 Å, 90.00 90.00 120.00°
Last column: nearest neighbours and their distance in Å.
Space group R-3m (No. 166, hexagonal axes)
One atom of each set of equivalent atoms:
1 Co 0.0000 0.0000 0.1584  7 Re 2.73-2.92, 3 Co 2.95
2 Co 0.0000 0.0000 0.3351  6 Re 2.66-2.72, 3 Co 2.91
3 Re 0.0000 0.0000 0.0471  7 Re 2.47-2.72
4 Re 0.0000 0.0000 0.5000  6 Re 2.57
5 Re 0.0050 0.5025 0.9137  7 Re 2.49-2.72, 3 Co 2.66-2.73

Results
E_form ... 364 meV/atom
Distance to the lowest polymorph of the same formula ... 10 meV/atom

Density functional theory data (PBE-GGA) for an optimized crystal structure of YLuAl.

Cell: 6.4868 5.0479 9.3822 Å, 90.00 90.00 90.00°
Last column: nearest neighbours and their distance in Å.
Space group Pnma (No. 62)
One atom of each set of equivalent atoms:
1 Y 0.1893 0.2500 0.0727  5 Al 3.04-3.35, 2 Lu 3.38
2 Lu 0.0278 0.2500 0.7118  3 Al 3.11-3.17, 2 Lu 3.32, 3 Y 3.38-3.46
3 Al 0.2045 0.2500 0.3963  5 Y 3.04-3.35, 3 Lu 3.11-3.17

Results
Distance to the lowest polymorph of the same formula ... 0 meV/atom

Density functional theory data (PBE-GGA) for an optimized crystal structure of SrTaNO2.

Cell: 5.6256 5.6256 8.2025 Å, 90.00 90.00 90.00°
Last column: nearest neighbours and their distance in Å.
Space group I4/mcm (No. 140)
One atom of each set of equivalent atoms:
1 Sr 0.0000 0.5000 0.2500  4 O 2.59, 4 N 2.81
2 Ta 0.0000 0.0000 0.0000  4 O 2.03, 2 N 2.05
3 N 0.0000 0.0000 0.2500  2 Ta 2.05
4 O 0.1990 0.3010 0.0000  2 Ta 2.03

Density functional theory data (PBE-GGA) for an optimized crystal structure of ScTaNiSn.

Cell: 6.6280 6.6280 6.6280 Å, 90.00 90.00 90.00°
Last column: nearest neighbours and their distance in Å.
Space group F-43m (No. 216)
One atom of each set of equivalent atoms:
1 Sc 0.0000 0.0000 0.0000  4 Ta 2.87, 4 Ni 2.87
2 Ta 0.2500 0.2500 0.2500  4 Sn 2.87, 4 Sc 2.87
3 Ni 0.2500 0.2500 0.7500  4 Sn 2.87, 4 Sc 2.87
4 Sn 0.0000 0.0000 0.5000  4 Ta 2.87, 4 Ni 2.87

Results
Distance to the lowest polymorph of the same formula ... 0 meV/atom

Density functional theory data (PBE-GGA) for an optimized crystal structure of Hf3Ni7.

Cell: 6.5054 6.5629 7.6122 Å, 103.37 104.63 112.61°
Last column: nearest neighbours and their distance in Å.
Space group P-1 (No. 2)
One atom of each set of equivalent atoms:
1 Hf 0.0012 0.2286 0.3682  11 Ni 2.61-2.85
2 Hf 0.3432 0.4748 0.1252  10 Ni 2.59-2.82
3 Hf 0.4010 0.0447 0.2783  11 Ni 2.58-2.80
4 Ni 0.0000 0.0000 0.0000  6 Ni 2.47-2.57
5 Ni 0.0544 0.2002 0.7655  5 Ni 2.42-2.60, 3 Hf 2.61-2.66
6 Ni 0.1165 0.6744 0.9568  3 Ni 2.41-2.55, 3 Hf 2.61
7 Ni 0.2215 0.6736 0.3926  3 Ni 2.42-2.70, 5 Hf 2.62-2.71
8 Ni 0.2719 0.5643 0.7160  4 Ni 2.41-2.66, 4 Hf 2.61-2.66
9 Ni 0.3164 0.1385 0.5931  4 Ni 2.49-2.74, 5 Hf 2.58-2.67
10 Ni 0.3932 0.1149 0.9401  7 Ni 2.57-2.81, 5 Hf 2.64-2.82
11 Ni 0.5000 0.5000 0.5000  6 Ni 2.55-2.57, 6 Hf 2.72-2.80

Results
E_form ... -506 meV/atom

Density functional theory data (PBE-GGA) for an optimized crystal structure of Nd2AuO4.

Cell: 9.9301 9.9301 9.9301 Å, 90.00 90.00 90.00°
Last column: nearest neighbours and their distance in Å.
Space group Fd-3m (No. 227, origin choice 2)
One atom of each set of equivalent atoms:
1 Nd 0.0000 0.0000 0.0000  6 O 2.37
2 Au 0.1250 0.1250 0.6250  4 O 2.35
3 O 0.0115 0.0115 0.2385  1 Au 2.35, 3 Nd 2.37

Density functional theory data (PBE-GGA) for an optimized crystal structure of SrHoSn2.

Cell: 3.4560 6.3817 12.8071 Å, 90.00 90.00 90.00°
Last column: nearest neighbours and their distance in Å.
Space group Amm2 (No. 38)
One atom of each set of equivalent atoms:
1 Sr 0.0000 0.0000 0.0000  3 Sn 3.20-3.28, 2 Sr 3.46
2 Ho 0.0000 0.0000 0.2877  3 Sn 2.99-3.24
3 Sn 0.0000 0.0000 0.5210  1 Sn 2.85, 1 Ho 2.99
4 Sn 0.0000 0.0000 0.7437  1 Sn 2.85

Density functional theory data (PBE-GGA) for an optimized crystal structure of Gd3In3Ag2Pd.

Cell: 7.8104 7.8104 3.9874 Å, 90.00 90.00 120.00°
Last column: nearest neighbours and their distance in Å.
Space group P-62m (No. 189)
One atom of each set of equivalent atoms:
1 Gd 0.0000 0.4023 0.0000  4 Ag 3.10, 1 Pd 3.14, 6 In 3.33-3.40
2 In 0.0000 0.7443 0.5000  2 Pd 2.82, 2 Ag 2.95
3 Ag 0.3333 0.6667 0.5000  3 In 2.95, 6 Gd 3.10
4 Pd 0.0000 0.0000 0.0000  6 In 2.82, 3 Gd 3.14

Density functional theory data (PBE-GGA) for an optimized crystal structure of GdInHgSe3.

Cell: 4.2398 14.4184 11.0616 Å, 90.00 90.00 90.00°
Last column: nearest neighbours and their distance in Å.
Space group Cmcm (No. 63)
One atom of each set of equivalent atoms:
1 Gd 0.0000 0.0000 0.0000  6 Se 2.94-2.99
2 In 0.0000 0.2521 0.2500  6 Se 3.22-3.52
3 Hg 0.0000 0.4569 0.7500  4 Se 2.63-2.76
4 Se 0.0000 0.0796 0.7500  2 Hg 2.76, 2 Gd 2.99
5 Se 0.0000 0.3635 0.5455  1 Hg 2.63, 2 Gd 2.94

Density functional theory data (PBE-GGA) for an optimized crystal structure of Dy2HoCo6Ni3.

Cell: 4.8860 4.8860 24.6687 Å, 90.00 90.00 120.00°
Last column: nearest neighbours and their distance in Å.
Space group R-3m (No. 166, hexagonal axes)
One atom of each set of equivalent atoms:
1 Dy 0.0000 0.0000 0.1391  9 Co 2.83-3.12, 3 Ni 2.90, 3 Dy 3.13
2 Ho 0.0000 0.0000 0.0000  6 Ni 2.82
3 Co 0.9995 0.4998 0.0813  4 Co 2.44-2.45, 3 Ni 2.45-2.54
4 Ni 0.0000 0.0000 0.3333  6 Co 2.45
5 Ni 0.0000 0.0000 0.5000  6 Co 2.54

Results
E_form ... -254 meV/atom

Density functional theory data (PBE-GGA) for an optimized crystal structure of SrTcGe2O7.

Cell: 7.1278 8.6298 4.7891 Å, 90.00 99.49 90.00°
Last column: nearest neighbours and their distance in Å.
Space group C2 (No. 5)
One atom of each set of equivalent atoms:
1 Sr 0.0000 0.0000 0.0000  4 O 2.38-2.40
2 Tc 0.0000 0.5925 0.0000  6 O 2.00-2.07
3 Ge 0.2195 0.2639 0.4308  4 O 1.75-1.81
4 O 0.0000 0.1781 0.5000  2 Ge 1.81
5 O 0.1223 0.7707 0.2478  1 Ge 1.75
6 O 0.1814 0.4350 0.2305  1 Ge 1.76
7 O 0.2082 0.6089 0.7694  1 Ge 1.77

Density functional theory data (PBE-GGA) for an optimized crystal structure of RbCuMoSe3.

Cell: 3.8686 15.3992 9.9425 Å, 90.00 90.00 90.00°
Last column: nearest neighbours and their distance in Å.
Space group Cmcm (No. 63)
One atom of each set of equivalent atoms:
1 Rb 0.0000 0.2482 0.2500  8 Se 3.47-3.64, 2 Cu 3.86, 2 Rb 3.87
2 Cu 0.0000 0.4684 0.7500  4 Se 2.38-2.44
3 Mo 0.0000 0.0000 0.0000  6 Se 2.64-2.68
4 Se 0.0000 0.0649 0.7500  2 Cu 2.44, 2 Mo 2.68
5 Se 0.0000 0.3873 0.5458  1 Cu 2.38, 2 Mo 2.64

Density functional theory data (PBE-GGA) for an optimized crystal structure of RbNbF3.

Cell: 6.2050 8.6798 6.0526 Å, 90.00 90.00 90.00°
Last column: nearest neighbours and their distance in Å.
Space group Pnma (No. 62)
One atom of each set of equivalent atoms:
1 Rb 0.0235 0.2500 0.0056  8 F 2.75-3.05
2 Nb 0.0000 0.0000 0.5000  6 F 2.19-2.20
3 F 0.0130 0.7500 0.4474  2 Nb 2.19
4 F 0.2153 0.5256 0.7868  2 Nb 2.20

Results
Distance to the lowest polymorph of the same formula ... 2 meV/atom

Density functional theory data (PBE-GGA) for an optimized crystal structure of DyHo2In3CuIr2.

Cell: 3.7743 13.1995 7.6058 Å, 90.00 90.00 90.00°
Last column: nearest neighbours and their distance in Å.
Space group Amm2 (No. 38)
One atom of each set of equivalent atoms:
1 Dy 0.0000 0.0000 0.0000  4 Ir 2.98, 1 Cu 3.14, 6 In 3.15-3.33
2 Ho 0.0000 0.2061 0.3816  4 Ir 2.97, 1 Cu 3.14, 2 In 3.16
3 In 0.5000 0.0000 0.3323  2 Cu 2.71, 2 Ir 2.88
4 In 0.5000 0.1279 0.7153  2 Cu 2.71, 2 Ir 2.87-2.88
5 Cu 0.0000 0.0000 0.5875  6 In 2.71
6 Ir 0.5000 0.1671 0.0880  3 In 2.87-2.88, 4 Ho 2.97, 2 Dy 2.98

Asked for E across the records above, the calculation gives -53.7, -138.5, -72.4, -94.3, -8.4, -13.1, -58.0, -406.5, -62.6, -174.2, -108.5, -147.8, -374.3, -28.0, -38.0, -93.8, -228.5, -151.3, -116.1, -110.7, -98.2 eV per cell in order.